[1]
Compound: Cd2InNiPb
Source: Alexandria via LeMat-Bulk
Functional: GGA-PBE
Structure: optimized geometry

Values from the calculation:
DOS at the Fermi energy = 2.7 states/eV/cell
ΔE to the lowest computed polymorph = 0 meV/atom
Energy relative to the elements = 0.106 eV/atom

Cell: 5.0448 5.0448 4.9262 Å, 90.00 90.00 90.00°
Closest atoms and distances in Å follow each position.
Fractional coordinates of all 5 atoms:
Ni1 0.0000 0.0000 0.0000  2 In 2.46, 4 Cd 2.52
In1 0.0000 0.0000 0.5000  2 Ni 2.46
Pb1 0.5000 0.5000 0.5000  8 Cd 3.53, 4 In 3.57
Cd1 0.5000 0.0000 0.0000  2 Ni 2.52
Cd2 0.0000 0.5000 0.0000  2 Ni 2.52


[2]
Compound: Cd2InNiPb
Source: Alexandria via LeMat-Bulk
Functional: GGA-PBE
Structure: optimized geometry

Values from the calculation:
DOS at the Fermi energy = 1.9 states/eV/cell
ΔE to the lowest computed polymorph = 13 meV/atom
Energy relative to the elements = 0.119 eV/atom

Cell: 5.0981 5.0981 4.9897 Å, 90.00 90.00 90.00°
Closest atoms and distances in Å follow each position.
Fractional coordinates of all 5 atoms:
Cd1 0.5000 0.0000 0.0000  2 Ni 2.55
In1 0.5000 0.5000 0.5000  8 Cd 3.57, 4 Pb 3.60
Cd2 0.0000 0.5000 0.0000  2 Ni 2.55
Ni1 0.0000 0.0000 0.0000  2 Pb 2.49, 4 Cd 2.55
Pb1 0.0000 0.0000 0.5000  2 Ni 2.49


[3]
Compound: CdIn2NiPb
Source: Alexandria via LeMat-Bulk
Functional: GGA-PBE
Structure: optimized geometry

Values from the calculation:
DOS at the Fermi energy = 2.6 states/eV/cell
ΔE to the lowest computed polymorph = 0 meV/atom
Energy relative to the elements = 0.065 eV/atom

Cell: 4.9602 4.9602 5.1277 Å, 90.00 90.00 90.00°
Closest atoms and distances in Å follow each position.
Fractional coordinates of all 5 atoms:
Pb1 0.5000 0.5000 0.5000  4 Cd 3.51, 8 In 3.57
In1 0.0000 0.5000 0.0000  2 Ni 2.48
In2 0.5000 0.0000 0.0000  2 Ni 2.48
Ni1 0.0000 0.0000 0.0000  4 In 2.48, 2 Cd 2.56
Cd1 0.0000 0.0000 0.5000  2 Ni 2.56


[4]
Compound: CdIn2NiPb
Source: Alexandria via LeMat-Bulk
Functional: GGA-PBE
Structure: optimized geometry

Values from the calculation:
DOS at the Fermi energy = 2.7 states/eV/cell
ΔE to the lowest computed polymorph = 599 meV/atom
Energy relative to the elements = 0.664 eV/atom

Cell: 5.8925 4.8970 5.8925 Å, 90.00 90.00 90.00°
Closest atoms and distances in Å follow each position.
Fractional coordinates of all 5 atoms:
Ni1 0.0000 0.5000 0.0000  2 Pb 2.45
Cd1 0.5000 0.5000 0.5000  8 In 3.83, 4 Ni 4.17
In1 0.5000 0.0000 0.0000  2 Pb 2.95
Pb1 0.0000 0.0000 0.0000  2 Ni 2.45
In2 0.0000 0.0000 0.5000  2 Pb 2.95


[5]
Compound: CdIn2NiPb
Source: Alexandria via LeMat-Bulk
Functional: GGA-PBE
Structure: optimized geometry

Values from the calculation:
DOS at the Fermi energy = 3.6 states/eV/cell
ΔE to the lowest computed polymorph = 3 meV/atom
Energy relative to the elements = 0.068 eV/atom

Cell: 5.0102 5.0102 5.2437 Å, 90.00 90.00 90.00°
Closest atoms and distances in Å follow each position.
Fractional coordinates of all 5 atoms:
Cd1 0.5000 0.5000 0.5000  4 Pb 3.54, 8 In 3.63
Ni1 0.0000 0.0000 0.0000  4 In 2.51, 2 Pb 2.62
In1 0.0000 0.5000 0.0000  2 Ni 2.51
Pb1 0.0000 0.0000 0.5000  2 Ni 2.62
In2 0.5000 0.0000 0.0000  2 Ni 2.51


[6]
Compound: PmCdInNi
Source: Alexandria via LeMat-Bulk
Functional: GGA-PBE
Structure: optimized geometry

Values from the calculation:
DOS at the Fermi energy = 2.7 states/eV/cell
Energy relative to the elements = -0.241 eV/atom

Cell: 4.9318 4.9318 4.9318 Å, 60.00 60.00 60.00°
Closest atoms and distances in Å follow each position.
Fractional coordinates of all 4 atoms:
In1 0.0000 0.0000 0.0000  4 Cd 3.02, 4 Ni 3.02
Cd1 0.7500 0.7500 0.7500  4 In 3.02, 4 Pm 3.02
Pm1 0.5000 0.5000 0.5000  4 Cd 3.02, 4 Ni 3.02
Ni1 0.2500 0.2500 0.2500  4 In 3.02, 4 Pm 3.02


[7]
Compound: CdInNiPt
Source: Alexandria via LeMat-Bulk
Functional: GGA-PBE
Structure: optimized geometry

Values from the calculation:
DOS at the Fermi energy = 3.7 states/eV/cell
Energy relative to the elements = -0.197 eV/atom

Cell: 4.5724 4.5724 4.5724 Å, 60.00 60.00 60.00°
Closest atoms and distances in Å follow each position.
Fractional coordinates of all 4 atoms:
In1 0.5000 0.5000 0.5000  4 Ni 2.80, 4 Pt 2.80
Ni1 0.2500 0.2500 0.2500  4 Cd 2.80, 4 In 2.80
Cd1 0.0000 0.0000 0.0000  4 Ni 2.80, 4 Pt 2.80
Pt1 0.7500 0.7500 0.7500  4 In 2.80, 4 Cd 2.80


[8]
Compound: RbCd2InNi
Source: Alexandria via LeMat-Bulk
Functional: GGA-PBE
Structure: optimized geometry

Values from the calculation:
DOS at the Fermi energy = 1.8 states/eV/cell
Energy relative to the elements = -0.042 eV/atom

Cell: 5.2255 5.2255 5.0242 Å, 90.00 90.00 90.00°
Closest atoms and distances in Å follow each position.
Fractional coordinates of all 5 atoms:
Cd1 0.0000 0.5000 0.0000  2 Ni 2.61
In1 0.0000 0.0000 0.5000  2 Ni 2.51
Ni1 0.0000 0.0000 0.0000  2 In 2.51, 4 Cd 2.61
Rb1 0.5000 0.5000 0.5000  8 Cd 3.62, 4 In 3.69
Cd2 0.5000 0.0000 0.0000  2 Ni 2.61


> What is the DOS at the Fermi energy in the eighth record?

1.8 states/eV/cell